# 1
# CaTmTlPt

A relaxed CaTmTlPt crystal (PBE, Alexandria).

Summary:
As for the crystal system: cubic. The density comes out at 10.68 g/cm3. The calculation puts the density of states at the Fermi level at 1.35 states/eV per cell. Its space group is F-43m (216). As for the total magnetization: 0.0 μB/cell. As for the formation energy: -0.651 eV per atom.

abc: 5.1141 5.1141 5.1141
angles: 60.00 60.00 60.00
With the nearest neighbours (Å) after each atom.
Positions (direct):
Tl: 0.7500 0.7500 0.7500  4 Tm 3.13, 4 Ca 3.13
Tm: 0.5000 0.5000 0.5000  4 Tl 3.13, 4 Pt 3.13
Ca: 0.0000 0.0000 0.0000  4 Pt 3.13, 4 Tl 3.13
Pt: 0.2500 0.2500 0.2500  4 Ca 3.13, 4 Tm 3.13

# 2
# Sc2Cu3Ge2

A relaxed Sc2Cu3Ge2 crystal (PBE, Alexandria).

Summary:
As for the crystal system: orthorhombic. The density comes out at 5.90 g/cm3. The calculation puts the density of states at the Fermi level at 4.28 states/eV per cell. Its space group is Cmmm (65). As for the total magnetization: 0.0 μB/cell. As for the formation energy: -0.184 eV per atom.

abc: 3.7450 3.6058 9.0533
angles: 101.49 90.00 90.00
With the nearest neighbours (Å) after each atom.
Positions (direct):
Sc: 0.0000 0.8399 0.6797  4 Ge 2.70, 1 Cu 2.84
Sc: 0.0000 0.1601 0.3203  4 Ge 2.70, 1 Cu 2.84
Cu: 0.5000 0.5652 0.1303  1 Cu 2.31, 1 Ge 2.43
Cu: 0.5000 0.4348 0.8697  1 Cu 2.31, 1 Ge 2.43
Cu: 0.0000 0.0000 0.0000  2 Sc 2.84, 8 Cu 2.84
Ge: 0.5000 0.7020 0.4040  1 Cu 2.43, 2 Ge 2.48, 4 Sc 2.70
Ge: 0.5000 0.2980 0.5960  1 Cu 2.43, 2 Ge 2.48, 4 Sc 2.70

# 3
# ZrPRu2

A relaxed ZrPRu2 crystal (PBE, Alexandria).

Summary:
As for the crystal system: orthorhombic. The density comes out at 8.89 g/cm3. The calculation puts the density of states at the Fermi level at 3.18 states/eV per cell. Its space group is Immm (71). As for the total magnetization: 0.0 μB/cell. As for the formation energy: -0.487 eV per atom.

abc: 5.1970 5.1970 5.1970
angles: 146.58 127.64 63.56
With the nearest neighbours (Å) after each atom.
Positions (direct):
Zr: 0.5000 0.0000 0.5000  4 P 2.74, 8 Ru 2.94-2.97, 2 Zr 2.99
P: 0.0000 0.5000 0.5000  4 Ru 2.40
Ru: 0.7869 0.7869 0.0000  2 P 2.40
Ru: 0.2131 0.2131 0.0000  2 P 2.40

# 4
# Li2TbSmTl4

A relaxed Li2TbSmTl4 crystal (PBE, Alexandria).

Summary:
As for the crystal system: trigonal. The density comes out at 9.41 g/cm3. The calculation puts the density of states at the Fermi level at 1.73 states/eV per cell. Its space group is R-3m (166). As for the total magnetization: 0.0 μB/cell. As for the formation energy: -0.328 eV per atom.

abc: 5.2265 5.2265 9.0262
angles: 73.17 73.17 60.00
With the nearest neighbours (Å) after each atom.
Positions (direct):
Li: 0.7502 0.7502 0.7492  8 Tl 3.15-3.22
Li: 0.2498 0.2498 0.2507  8 Tl 3.15-3.22
Tb: 0.5000 0.5000 0.5000  8 Tl 3.17-3.19
Sm: 0.0000 0.0000 0.0000  8 Tl 3.21-3.22
Tl: 0.3758 0.3758 0.8726  1 Tb 3.17, 4 Li 3.19-3.22, 3 Sm 3.21
Tl: 0.8738 0.8738 0.3785  4 Li 3.15-3.21, 3 Tb 3.19, 1 Sm 3.22
Tl: 0.1262 0.1262 0.6215  4 Li 3.15-3.21, 3 Tb 3.19, 1 Sm 3.22
Tl: 0.6242 0.6242 0.1274  1 Tb 3.17, 4 Li 3.19-3.22, 3 Sm 3.21

# 5
# Zr3As

A relaxed Zr3As crystal (PBE, Alexandria).

Summary:
As for the crystal system: tetragonal. The density comes out at 6.91 g/cm3. The calculation puts the density of states at the Fermi level at 13.75 states/eV per cell. Its space group is I-4 (82). As for the total magnetization: 0.0 μB/cell. As for the formation energy: -0.730 eV per atom.

abc: 5.4462 8.3055 8.3055
angles: 83.83 70.86 70.86
With the nearest neighbours (Å) after each atom.
Positions (direct):
Zr: 0.3779 0.9744 0.8105  2 As 2.78-2.95, 2 Zr 3.00-3.08
Zr: 0.1627 0.0256 0.1895  2 As 2.78-2.95, 2 Zr 3.00-3.08
Zr: 0.8116 0.8105 0.0256  2 As 2.78-2.95, 2 Zr 3.00-3.08
Zr: 0.6478 0.1895 0.9744  2 As 2.78-2.95, 2 Zr 3.00-3.08
Zr: 0.5520 0.3343 0.6103  4 As 2.81-2.86, 1 Zr 3.12
Zr: 0.4966 0.6657 0.3897  4 As 2.81-2.86, 1 Zr 3.12
Zr: 0.8377 0.6103 0.6657  4 As 2.81-2.86, 1 Zr 3.12
Zr: 0.1137 0.3897 0.3343  4 As 2.81-2.86, 1 Zr 3.12
Zr: 0.9673 0.9637 0.6029  3 As 2.77-2.97, 1 Zr 3.08
Zr: 0.5338 0.0363 0.3971  3 As 2.77-2.97, 1 Zr 3.08
Zr: 0.4298 0.6029 0.0363  3 As 2.77-2.97, 1 Zr 3.08
Zr: 0.0690 0.3971 0.9637  3 As 2.77-2.97, 1 Zr 3.08
As: 0.0691 0.2522 0.6671  9 Zr 2.77-2.97
As: 0.9884 0.7478 0.3329  9 Zr 2.77-2.97
As: 0.2638 0.6671 0.7478  9 Zr 2.77-2.97
As: 0.6787 0.3329 0.2522  9 Zr 2.77-2.97

# 6
# In3Te

A relaxed In3Te crystal (PBE, Alexandria).

Summary:
As for the crystal system: trigonal. The density comes out at 6.85 g/cm3. The calculation puts the density of states at the Fermi level at 1.15 states/eV per cell. Its space group is R-3m (166). The value obtained for the uncorrected formation energy is -0.038 eV/atom. As for the total magnetization: 0.0 μB/cell.

abc: 6.2719 6.2719 6.2719
angles: 116.66 116.66 116.66
With the nearest neighbours (Å) after each atom.
Positions (direct):
In: 0.0000 0.0000 0.0000  2 Te 3.29, 6 In 3.29-3.48
In: 0.0000 0.5000 0.5000  6 In 3.29-3.48, 2 Te 3.29
In: 0.5000 0.0000 0.5000  6 In 3.29-3.48, 2 Te 3.29
Te: 0.5000 0.5000 0.0000  6 In 3.29, 2 Te 3.48